DFT (GGA-PBE) results for a relaxed structure of Ce3HoPb2.

Properties
* DFT formation energy: -1.67 eV per formula unit
* space-group type: No. 12
* total moment: 0.244 μB per atom
* E: -5.244 eV/atom

Cell: 9.4818 9.4818 9.4300 Å, 109.61 109.61 25.84°
With the nearest neighbours (Å) after each atom.
Fractional positions:
1 Ce 0.0667 0.0667 0.1182  3 Ce 2.69-2.84
2 Ce 0.2949 0.2949 0.5731  2 Ce 2.75
3 Ce 0.3746 0.3746 0.0102  2 Ce 2.84
4 Ce 0.6254 0.6254 0.9898  2 Ce 2.84
5 Ce 0.7051 0.7051 0.4269  2 Ce 2.75
6 Ce 0.9333 0.9333 0.8818  3 Ce 2.69-2.84
7 Ho 0.1038 0.1038 0.6248  6 Pb 3.23-3.35
8 Ho 0.8962 0.8962 0.3752  6 Pb 3.23-3.35
9 Pb 0.2599 0.2599 0.2099  2 Ho 3.25, 7 Ce 3.26-3.38
10 Pb 0.4792 0.4792 0.6600  4 Ce 3.22-3.34, 4 Ho 3.23-3.35, 1 Pb 3.36
11 Pb 0.5208 0.5208 0.3400  4 Ce 3.22-3.34, 4 Ho 3.23-3.35, 1 Pb 3.36
12 Pb 0.7401 0.7401 0.7901  2 Ho 3.25, 7 Ce 3.26-3.38